No. 1
The following is a PBE calculation of a geometry-optimized DyErTlNi structure, from Alexandria via LeMat-Bulk.

Summary:
E_tot ... -0.337 Ry per atom
Theoretical density ... 10.56 g cm⁻³

Cell: 5.0893 5.0893 5.0893 Å, 60.00 60.00 60.00°
Atoms (fractional coordinates):
Dy 0.0000 0.0000 0.0000
Er 0.5000 0.5000 0.5000
Tl 0.7500 0.7500 0.7500
Ni 0.2500 0.2500 0.2500


No. 2
The following is a PBE calculation of a geometry-optimized Nd3Sb2Te structure, from Alexandria via LeMat-Bulk.

Summary:
Polymorph energy (0 for the lowest one) ... 0 meV/atom
Formation energy without anion corrections ... -1313 meV per atom
E_tot ... -0.411 Ry per atom
Theoretical density ... 6.82 g cm⁻³

Cell: 7.8325 7.8325 7.8205 Å, 99.61 99.61 120.02°
Atoms (fractional coordinates):
Nd 0.0000 0.5000 0.5000
Nd 0.1563 0.3280 0.9995
Nd 0.3280 0.1563 0.4995
Nd 0.5000 0.0000 0.0000
Nd 0.6720 0.8437 0.5005
Nd 0.8437 0.6720 0.0005
Sb 0.0836 0.9164 0.7500
Sb 0.2518 0.7482 0.2500
Sb 0.7482 0.2518 0.7500
Sb 0.9164 0.0836 0.2500
Te 0.4180 0.5820 0.7500
Te 0.5820 0.4180 0.2500


No. 3
The following is a PBE calculation of a geometry-optimized Pm2ErRu structure, from Alexandria via LeMat-Bulk.

Summary:
Polymorph energy (0 for the lowest one) ... 447 meV/atom
E_tot ... -0.415 Ry per atom
Theoretical density ... 7.87 g cm⁻³

Cell: 10.8711 10.8711 10.8711 Å, 18.91 18.91 18.91°
Atoms (fractional coordinates):
Pm 0.1062 0.1062 0.1062
Pm 0.8938 0.8938 0.8938
Er 0.0000 0.0000 0.0000
Ru 0.5000 0.5000 0.5000


No. 4
The following is a PBE calculation of a geometry-optimized MgMo2Pb structure, from Alexandria via LeMat-Bulk.

Summary:
Polymorph energy (0 for the lowest one) ... 253 meV/atom
E_tot ... -0.456 Ry per atom
Theoretical density ... 9.63 g cm⁻³

Cell: 5.4678 5.4678 5.4678 Å, 143.26 130.91 62.85°
Atoms (fractional coordinates):
Mg 0.0000 0.0000 0.0000
Mo 0.2504 0.7504 0.5000
Mo 0.7496 0.2496 0.5000
Pb 0.5000 0.5000 0.0000


No. 5
The following is a PBE calculation of a geometry-optimized La2MgP3Pt12 structure, from Alexandria via LeMat-Bulk.

Summary:
E_tot ... -0.447 Ry per atom
Theoretical density ... 12.75 g cm⁻³

Cell: 7.6648 7.6648 7.6648 Å, 65.50 65.50 65.50°
Atoms (fractional coordinates):
La 0.1116 0.1116 0.1116
La 0.8884 0.8884 0.8884
Mg 0.5000 0.5000 0.5000
P 0.0000 0.5000 0.5000
P 0.5000 0.0000 0.5000
P 0.5000 0.5000 0.0000
Pt 0.1239 0.6292 0.6292
Pt 0.1590 0.1590 0.6008
Pt 0.1590 0.6008 0.1590
Pt 0.3708 0.3708 0.8761
Pt 0.3708 0.8761 0.3708
Pt 0.3992 0.8410 0.8410
Pt 0.6008 0.1590 0.1590
Pt 0.6292 0.1239 0.6292
Pt 0.6292 0.6292 0.1239
Pt 0.8410 0.3992 0.8410
Pt 0.8410 0.8410 0.3992
Pt 0.8761 0.3708 0.3708


No. 6
The following is a PBE calculation of a geometry-optimized LiTlS2 structure, from Alexandria via LeMat-Bulk.

Summary:
Formation energy without anion corrections ... -519 meV per atom
E_tot ... -0.268 Ry per atom
Theoretical density ... 5.14 g cm⁻³

Cell: 3.9385 3.9385 6.6235 Å, 90.00 90.00 120.00°
Atoms (fractional coordinates):
Li 0.0000 0.0000 0.0000
Tl 0.6667 0.3333 0.5780
S 0.0000 0.0000 0.3682
S 0.3333 0.6667 0.8364


Repeat the fifth record exactly.
The following is a PBE calculation of a geometry-optimized La2MgP3Pt12 structure, from Alexandria via LeMat-Bulk.

Summary:
E_tot ... -0.447 Ry per atom
Theoretical density ... 12.75 g cm⁻³

Cell: 7.6648 7.6648 7.6648 Å, 65.50 65.50 65.50°
Atoms (fractional coordinates):
La 0.1116 0.1116 0.1116
La 0.8884 0.8884 0.8884
Mg 0.5000 0.5000 0.5000
P 0.0000 0.5000 0.5000
P 0.5000 0.0000 0.5000
P 0.5000 0.5000 0.0000
Pt 0.1239 0.6292 0.6292
Pt 0.1590 0.1590 0.6008
Pt 0.1590 0.6008 0.1590
Pt 0.3708 0.3708 0.8761
Pt 0.3708 0.8761 0.3708
Pt 0.3992 0.8410 0.8410
Pt 0.6008 0.1590 0.1590
Pt 0.6292 0.1239 0.6292
Pt 0.6292 0.6292 0.1239
Pt 0.8410 0.3992 0.8410
Pt 0.8410 0.8410 0.3992
Pt 0.8761 0.3708 0.3708


Please write out number 4 again, unchanged.
The following is a PBE calculation of a geometry-optimized MgMo2Pb structure, from Alexandria via LeMat-Bulk.

Summary:
Polymorph energy (0 for the lowest one) ... 253 meV/atom
E_tot ... -0.456 Ry per atom
Theoretical density ... 9.63 g cm⁻³

Cell: 5.4678 5.4678 5.4678 Å, 143.26 130.91 62.85°
Atoms (fractional coordinates):
Mg 0.0000 0.0000 0.0000
Mo 0.2504 0.7504 0.5000
Mo 0.7496 0.2496 0.5000
Pb 0.5000 0.5000 0.0000


Which formula does entry 3 have?
Pm2ErRu


Among the records above, which one has the lowest theoretical density?
LiTlS2